No. 1
In2HgOs: optimized geometry, PBE.

Cell and atoms, written as POSCAR:
```
In2HgOs
1.0
-3.341 -0.618 -4.154
-1.258 -5.124 -0.979
-0.006 3.089 4.388
Hg In Os
1 2 1
direct
0.750 0.250 0.500
0.000 0.000 0.000
0.250 0.750 0.500
0.500 0.500 0.000
```

E (eV/f.u.): -14.95
Magnetization (μB/f.u.): 0.000
N(E_F) (states/eV/f.u.): 2.0
Energy relative to the elements (eV per atom): 0.52

***

No. 2
In2HgOs: optimized geometry, PBE.

Cell and atoms, written as POSCAR:
```
In2HgOs
1.0
-4.938 -0.870 0.558
-0.556 -0.061 -5.014
0.540 -3.082 -0.022
Hg In Os
1 2 1
direct
0.000 0.500 0.500
0.000 0.000 0.000
0.500 0.500 0.000
0.500 0.000 0.500
```

E (eV/f.u.): -14.86
Magnetization (μB/f.u.): 0.002
N(E_F) (states/eV/f.u.): 3.1
Energy relative to the elements (eV per atom): 0.54

***

No. 3
InHg3Os: optimized geometry, PBE.

Cell and atoms, written as POSCAR:
```
InHg3Os
1.0
5.276 0.000 0.000
0.000 5.276 0.000
0.000 0.000 5.276
Os Hg In
1 3 1
direct
0.000 0.000 0.000
0.000 0.500 0.000
0.000 0.000 0.500
0.500 0.000 0.000
0.500 0.500 0.500
```

E (eV/f.u.): -11.62
Magnetization (μB/f.u.): 0.000
N(E_F) (states/eV/f.u.): 3.0
Energy relative to the lowest polymorph listed for this composition (kcal/mol of atoms): 0.000
Energy relative to the elements (eV per atom): 0.65

***

No. 4
In2HgOs: optimized geometry, PBE.

Cell and atoms, written as POSCAR:
```
In2HgOs
1.0
-1.322 1.217 4.509
-4.658 0.930 0.996
-2.572 -3.109 2.697
Hg In Os
1 2 1
direct
0.500 0.500 0.500
0.000 0.000 0.000
0.250 0.250 0.250
0.750 0.750 0.750
```

E (eV/f.u.): -13.94
Magnetization (μB/f.u.): 0.000
N(E_F) (states/eV/f.u.): 3.5
Energy relative to the elements (eV per atom): 0.77

***

No. 5
InHg2Os: optimized geometry, PBE.

Cell and atoms, written as POSCAR:
```
InHg2Os
1.0
-3.628 -10.479 -3.241
-1.751 -10.024 -5.470
-0.773 -11.150 -2.926
Hg In Os
2 1 1
direct
0.012 0.012 0.012
0.252 0.252 0.252
0.485 0.485 0.485
0.751 0.751 0.751
```

E (eV/f.u.): -12.34
Magnetization (μB/f.u.): 0.000
N(E_F) (states/eV/f.u.): 1.9
Energy relative to the elements (eV per atom): 0.56

***

No. 6
InHg2Os: optimized geometry, PBE.

Cell and atoms, written as POSCAR:
```
InHg2Os
1.0
4.392 0.000 0.000
0.000 4.200 0.000
0.000 0.000 4.200
Hg In Os
2 1 1
direct
0.000 0.000 0.000
0.000 0.500 0.500
0.500 0.500 0.000
0.500 0.000 0.500
```

E (eV/f.u.): -11.80
Magnetization (μB/f.u.): 0.000
N(E_F) (states/eV/f.u.): 2.7
Energy relative to the elements (eV per atom): 0.69

***

No. 7
InHg2Os: optimized geometry, PBE.

Cell and atoms, written as POSCAR:
```
InHg2Os
1.0
5.367 -0.143 -0.297
2.325 4.839 0.297
-3.688 -2.607 2.918
Hg In Os
2 1 1
direct
0.000 0.000 0.000
0.750 0.250 0.500
0.500 0.500 0.000
0.250 0.750 0.500
```

E (eV/f.u.): -11.99
Magnetization (μB/f.u.): 0.069
N(E_F) (states/eV/f.u.): 2.8
Energy relative to the elements (eV per atom): 0.64

***

No. 8
In2HgOs: optimized geometry, PBE.

Cell and atoms, written as POSCAR:
```
In2HgOs
1.0
5.060 -0.022 -0.003
3.963 3.146 -0.003
1.052 0.364 5.047
Hg In Os
1 2 1
direct
0.250 0.250 0.250
0.014 0.014 0.973
0.486 0.486 0.527
0.750 0.750 0.750
```

E (eV/f.u.): -14.76
Magnetization (μB/f.u.): 0.000
N(E_F) (states/eV/f.u.): 2.6
Energy relative to the elements (eV per atom): 0.56

***

No. 9
InHg2Os: optimized geometry, PBE.

Cell and atoms, written as POSCAR:
```
InHg2Os
1.0
-9.103 -3.929 -0.691
-7.691 -6.243 0.813
-8.847 -3.843 2.398
Hg In Os
2 1 1
direct
0.006 0.006 0.006
0.494 0.494 0.494
0.250 0.250 0.250
0.750 0.750 0.750
```

E (eV/f.u.): -11.81
Magnetization (μB/f.u.): 0.680
N(E_F) (states/eV/f.u.): 3.1
Energy relative to the elements (eV per atom): 0.69

***

No. 10
InHg2Os: optimized geometry, PBE.

Cell and atoms, written as POSCAR:
```
InHg2Os
1.0
4.243 0.000 0.000
0.000 3.374 0.010
0.000 1.639 5.836
Hg In Os
2 1 1
direct
0.000 0.805 0.013
0.500 0.204 0.220
0.000 0.526 0.570
0.500 0.964 0.697
```

E (eV/f.u.): -12.25
Magnetization (μB/f.u.): 0.000
N(E_F) (states/eV/f.u.): 2.5
Energy relative to the elements (eV per atom): 0.58

***

No. 11
InHg2Os: optimized geometry, PBE.

Cell and atoms, written as POSCAR:
```
InHg2Os
1.0
-1.071 -2.727 0.640
2.039 1.354 1.733
-8.173 4.618 6.007
Hg In Os
2 1 1
direct
0.000 0.000 0.972
0.000 0.000 0.528
0.500 0.500 0.250
0.500 0.500 0.750
```

E (eV/f.u.): -11.75
Magnetization (μB/f.u.): 0.656
N(E_F) (states/eV/f.u.): 2.8
Energy relative to the elements (eV per atom): 0.71

***

No. 12
InHgOs: optimized geometry, PBE.

Cell and atoms, written as POSCAR:
```
InHgOs
1.0
-0.619 -2.171 4.880
-2.877 -4.434 0.987
4.046 2.302 -2.691
Hg In Os
1 1 1
direct
0.994 0.994 0.000
0.685 0.685 0.000
0.321 0.321 0.000
```

E (eV/f.u.): -12.03
Magnetization (μB/f.u.): 0.623
N(E_F) (states/eV/f.u.): 2.6
Energy relative to the lowest polymorph listed for this composition (kcal/mol of atoms): 0.727
Energy relative to the elements (eV per atom): 0.75

***

No. 13
In2HgOs: optimized geometry, PBE.

Cell and atoms, written as POSCAR:
```
In2HgOs
1.0
-7.587 1.352 6.792
-5.492 0.096 8.680
-5.446 3.133 8.126
Hg In Os
1 2 1
direct
0.759 0.759 0.759
0.999 0.999 0.999
0.240 0.240 0.240
0.502 0.502 0.502
```

E (eV/f.u.): -14.83
Magnetization (μB/f.u.): 0.009
N(E_F) (states/eV/f.u.): 2.3
Energy relative to the elements (eV per atom): 0.54

***

No. 14
InHgOs: optimized geometry, PBE.

Cell and atoms, written as POSCAR:
```
InHgOs
1.0
-0.923 0.038 -2.930
2.868 -0.853 0.696
-2.143 -6.725 0.587
Hg In Os
1 1 1
direct
0.000 0.000 0.985
0.333 0.667 0.357
0.667 0.333 0.659
```

E (eV/f.u.): -12.13
Magnetization (μB/f.u.): 0.338
N(E_F) (states/eV/f.u.): 3.2
Energy relative to the lowest polymorph listed for this composition (kcal/mol of atoms): 0.000
Energy relative to the elements (eV per atom): 0.71

***

No. 15
In2HgOs: optimized geometry, PBE.

Cell and atoms, written as POSCAR:
```
In2HgOs
1.0
-3.947 -0.342 -0.785
-0.165 -3.668 2.427
-0.918 2.403 3.571
Hg In Os
1 2 1
direct
0.500 0.000 0.500
0.000 0.000 0.000
0.000 0.500 0.500
0.500 0.500 0.000
```

E (eV/f.u.): -14.55
Magnetization (μB/f.u.): 0.000
N(E_F) (states/eV/f.u.): 2.2
Energy relative to the elements (eV per atom): 0.62

***

No. 16
InHg2Os: optimized geometry, PBE.

Cell and atoms, written as POSCAR:
```
InHg2Os
1.0
5.533 0.032 0.000
2.513 4.929 0.000
-4.023 -2.481 2.877
Hg In Os
2 1 1
direct
0.000 0.000 0.000
0.500 0.500 0.000
0.250 0.750 0.500
0.750 0.250 0.500
```

E (eV/f.u.): -11.94
Magnetization (μB/f.u.): 0.290
N(E_F) (states/eV/f.u.): 2.5
Energy relative to the elements (eV per atom): 0.66

***

No. 17
InHg2Os: optimized geometry, PBE.

Cell and atoms, written as POSCAR:
```
InHg2Os
1.0
-2.188 1.675 6.720
-4.022 -0.481 6.029
2.154 -2.788 2.981
Hg In Os
2 1 1
direct
0.934 0.934 0.067
0.566 0.566 0.433
0.750 0.750 0.750
0.250 0.250 0.250
```

E (eV/f.u.): -12.83
Magnetization (μB/f.u.): 0.000
N(E_F) (states/eV/f.u.): 2.6
Energy relative to the elements (eV per atom): 0.43

***

No. 18
In2HgOs: optimized geometry, PBE.

Cell and atoms, written as POSCAR:
```
In2HgOs
1.0
-4.702 0.045 -1.631
3.261 -5.837 1.459
-0.939 -1.726 2.654
Hg In Os
1 2 1
direct
0.500 0.000 0.500
0.000 0.000 0.000
0.000 0.500 0.500
0.500 0.500 0.000
```

E (eV/f.u.): -14.83
Magnetization (μB/f.u.): 0.000
N(E_F) (states/eV/f.u.): 2.1
Energy relative to the elements (eV per atom): 0.54

***

No. 19
In2HgOs: optimized geometry, PBE.

Cell and atoms, written as POSCAR:
```
In2HgOs
1.0
-4.035 -0.078 -5.134
-0.536 -6.488 0.520
-7.158 -2.574 1.511
Os Hg In
2 2 4
direct
0.500 0.500 0.000
0.250 0.750 0.500
0.000 0.000 0.000
0.750 0.250 0.500
0.564 0.125 0.250
0.186 0.625 0.250
0.375 0.436 0.750
0.875 0.814 0.750
```

E (eV/f.u.): -13.15
Magnetization (μB/f.u.): 0.000
N(E_F) (states/eV/f.u.): 3.2
Energy relative to the elements (eV per atom): 0.96

***

No. 20
In2HgOs: optimized geometry, PBE.

Cell and atoms, written as POSCAR:
```
In2HgOs
1.0
9.441 -0.035 -0.021
8.903 3.141 -0.021
8.903 1.507 2.756
Hg In Os
1 2 1
direct
0.750 0.750 0.750
0.991 0.991 0.991
0.509 0.509 0.509
0.250 0.250 0.250
```

E (eV/f.u.): -15.29
Magnetization (μB/f.u.): 0.000
N(E_F) (states/eV/f.u.): 3.5
Energy relative to the elements (eV per atom): 0.43